DFT (PBE-GGA) results for a relaxed structure of ZrCuBiIr.

POSCAR file:
```
ZrCuBiIr
1.0
0.0000 3.3436 3.3436
3.3436 0.0000 3.3436
3.3436 3.3436 0.0000
Bi Cu Ir Zr
1 1 1 1
direct
0.0000 0.0000 0.0000 Bi
0.2500 0.2500 0.2500 Cu
0.7500 0.7500 0.7500 Ir
0.5000 0.5000 0.5000 Zr
```

Summary:
The space-group type is No. 216. The excess energy over the best structure of this formula in the dataset comes out at 0 meV/atom.


DFT (PBE-GGA) results for a relaxed structure of RbCuTe2IrSe.

POSCAR file:
```
RbCuTe2IrSe
1.0
2.0030 -8.0677 0.0000
2.0030 8.0677 0.0000
0.0000 0.0000 10.1878
Cu Ir Rb Se Te
2 2 2 2 4
direct
0.4707 0.5293 0.2500 Cu
0.5293 0.4707 0.7500 Cu
0.0000 0.0000 0.0000 Ir
0.0000 0.0000 0.5000 Ir
0.7480 0.2520 0.2500 Rb
0.2520 0.7480 0.7500 Rb
0.0571 0.9429 0.2500 Se
0.9429 0.0571 0.7500 Se
0.3906 0.6094 0.0345 Te
0.3906 0.6094 0.4655 Te
0.6094 0.3906 0.5345 Te
0.6094 0.3906 0.9655 Te
```

Summary:
For the total DFT energy (no corrections), the calculation gives -4.190 eV/atom. The space-group type is No. 63.


DFT (PBE-GGA) results for a relaxed structure of Cs2NiBr6.

POSCAR file:
```
Cs2NiBr6
1.0
-3.7992 3.7992 5.4510
3.7992 -3.7992 5.4510
3.7992 3.7992 -5.4510
Br Cs Ni
6 2 1
direct
0.2223 0.2223 0.0000 Br
0.7777 0.7777 0.0000 Br
0.7834 0.2350 0.0183 Br
0.2350 0.2166 0.4516 Br
0.7650 0.7834 0.5484 Br
0.2166 0.7650 0.9817 Br
0.7500 0.2500 0.5000 Cs
0.2500 0.7500 0.5000 Cs
0.0000 0.0000 0.0000 Ni
```

Summary:
For the total DFT energy (no corrections), the calculation gives -2.868 eV/atom. The space-group type is No. 87.


DFT (PBE-GGA) results for a relaxed structure of TbYCu2Bi4.

POSCAR file:
```
TbYCu2Bi4
1.0
-3.3207 2.2893 -2.0661
-3.0719 -2.7217 1.9215
-0.5784 6.0128 7.5921
Bi Cu Tb Y
4 2 1 1
direct
0.5000 0.5000 0.1664 Bi
0.5000 0.0000 0.5001 Bi
0.0000 0.5000 0.5001 Bi
0.0000 0.0000 0.8331 Bi
0.5000 0.0000 0.0000 Cu
0.0000 0.5000 0.0000 Cu
0.5000 0.5000 0.7645 Tb
0.0000 0.0000 0.2360 Y
```

Summary:
For the total DFT energy (no corrections), the calculation gives -4.763 eV/atom. The space-group type is No. 99.